[1]
First-principles (GGA-PBE) data for a geometry-optimized CeY6Er structure, as listed in the Alexandria database.

Total moment = 1.91 μB per formula unit
E_tot = -5.94 eV/atom
Space-group type = P-1

Lattice parameters (Å, degrees): 6.8266 6.5159 6.8941 101.55 60.78 89.63
Site moments in Bohr magnetons follow the coordinates.
Fractional coordinates of all 8 atoms:
Er: 0.0000 0.0000 0.0000  0.10
Y: 0.0956 0.7322 0.4796  0.06
Y: 0.5540 0.7499 0.9996  0.06
Y: 0.4274 0.2333 0.4797  0.05
Y: 0.9044 0.2678 0.5204  0.06
Y: 0.5726 0.7667 0.5203  0.05
Y: 0.4460 0.2501 0.0004  0.06
Ce: 0.0000 0.5000 0.0000  0.86

---

[2]
First-principles (GGA-PBE) data for a geometry-optimized YIn2W structure, as listed in the Alexandria database.

Total moment = 0.00 μB per formula unit
E_tot = -5.88 eV/atom
Space-group type = Pmm2

Lattice parameters (Å, degrees): 3.2806 3.8245 7.4133 90.00 90.00 90.00
Fractional coordinates of all 4 atoms:
In: 0.0000 0.0000 0.0304
W: 0.0000 0.0000 0.4698
In: 0.5000 0.5000 0.2830
Y: 0.5000 0.5000 0.7169

---

Energy of formation / eV/atom: 0.2249 0.3471
Energy relative to the lowest polymorph listed for this composition / meV per atom: 47 157
V / Å³ per atom: 32.53 23.25